Below is a relaxed structure of TiSi2SeS, with properties calculated at the PBE level.

Uncorrected formation energy = 0.733 eV per atom
Density = 3.71 g/cm3
Energy = -4.538 eV per atom
Magnetization = 0.0 μB per cell

Structure (POSCAR):
```
TiSi2SeS
1.0
4.4726 0.0000 0.0000
0.0000 4.8130 0.0000
0.0000 0.0000 4.4726
S Se Si Ti
1 1 2 1
direct
0.0000 0.0000 0.0000
0.0000 0.5000 0.0000
0.5000 0.0000 0.0000
0.0000 0.0000 0.5000
0.5000 0.5000 0.5000
```

---

Below is a relaxed structure of Tm8SiSe3S3, with properties calculated at the PBE level.

Uncorrected formation energy = -1.571 eV per atom
Density = 8.26 g/cm3
Energy = -5.840 eV per atom
Magnetization = 0.0 μB per cell

Structure (POSCAR):
```
Tm8SiSe3S3
1.0
7.8191 0.0000 0.0000
-3.9096 6.7710 -0.0240
0.0000 -4.4912 6.5163
Se Si S Tm
3 1 3 8
direct
0.5000 0.5000 0.0000
0.0000 0.5000 0.0000
0.0000 0.0000 0.0000
0.0000 0.0000 0.5000
0.5000 0.5000 0.5000
0.5000 0.0000 0.5000
0.0000 0.5000 0.5000
0.7420 0.4840 0.7259
0.2471 0.4942 0.7351
0.2589 0.0119 0.2650
0.7529 0.5058 0.2649
0.2470 0.9881 0.7350
0.2580 0.5160 0.2741
0.7530 0.0119 0.2650
0.7411 0.9881 0.7350
```

---

Below is a relaxed structure of Tm6SiSe2S3, with properties calculated at the PBE level.

Uncorrected formation energy = -1.697 eV per atom
Density = 8.25 g/cm3
Energy = -5.997 eV per atom
Magnetization = 0.0 μB per cell

Structure (POSCAR):
```
Tm6SiSe2S3
1.0
6.8477 0.0006 0.0013
-3.4217 5.9316 0.0013
-1.1416 -1.9767 6.4235
Tm S Se Si
6 3 2 1
direct
0.0864 0.4054 0.2605
0.5946 0.9136 0.7395
0.4054 0.0864 0.2605
0.7677 0.7677 0.2598
0.9136 0.5946 0.7395
0.2323 0.2323 0.7402
0.5000 0.5000 0.5000
0.1709 0.8291 0.5000
0.8291 0.1709 0.5000
0.6664 0.3336 0.0000
0.3336 0.6664 0.0000
0.0000 0.0000 0.0000
```

---

Below is a relaxed structure of Tm4SiSeS2, with properties calculated at the PBE level.

Uncorrected formation energy = -1.623 eV per atom
Density = 8.03 g/cm3
Energy = -6.004 eV per atom
Magnetization = 0.0 μB per cell

Structure (POSCAR):
```
Tm4SiSeS2
1.0
-1.4784 -2.2243 -2.9126
3.7275 -5.2819 2.1417
-3.6105 -3.6472 4.6180
S Tm Si Se
2 4 1 1
direct
0.0000 0.0000 0.0000
0.5000 0.0000 0.5000
0.5000 0.7497 0.2590
0.0000 0.2422 0.2661
0.0000 0.7578 0.7339
0.5000 0.2503 0.7410
0.0000 0.5000 0.5000
0.5000 0.5000 0.0000
```

---

Below is a relaxed structure of Y4SiSeS2, with properties calculated at the PBE level.

Uncorrected formation energy = -1.689 eV per atom
Density = 4.74 g/cm3
Energy = -7.066 eV per atom
Magnetization = 0.0 μB per cell

Structure (POSCAR):
```
Y4SiSeS2
1.0
-2.4725 -2.1032 -2.3681
2.9335 -5.8947 2.1725
-3.4146 -2.3639 5.6645
Si Y S Se
1 4 2 1
direct
0.0000 0.5000 0.5000
0.5000 0.2503 0.7415
0.0000 0.7571 0.7349
0.5000 0.7497 0.2585
0.0000 0.2429 0.2651
0.0000 0.0000 0.0000
0.5000 0.0000 0.5000
0.5000 0.5000 0.0000
```

---

Below is a relaxed structure of Y8SiSe4S3, with properties calculated at the PBE level.

Uncorrected formation energy = -1.784 eV per atom
Density = 5.13 g/cm3
Energy = -7.000 eV per atom
Magnetization = 0.0 μB per cell

Structure (POSCAR):
```
Y8SiSe4S3
1.0
8.0180 0.0000 0.0000
0.0000 8.1383 0.0800
-4.0090 -4.0043 5.6722
Y S Se Si
8 3 4 1
direct
0.2555 0.2714 0.0134
0.7578 0.2714 0.0134
0.7445 0.7286 0.9866
0.2419 0.7275 0.4839
0.2587 0.2752 0.5174
0.7581 0.2725 0.5161
0.2422 0.7286 0.9866
0.7413 0.7248 0.4826
0.0000 0.5000 0.5000
0.5000 0.5000 0.0000
0.5000 0.5000 0.5000
0.0000 0.0000 0.5000
0.0000 0.0000 0.0000
0.5000 0.0000 0.0000
0.5000 0.0000 0.5000
0.0000 0.5000 0.0000
```